1.
Compound: RbTaBe
Source: OQMD via LeMat-Bulk
Functional: GGA-PBE
Structure: optimized geometry

Computed properties:
As for the space group: No. 216. The calculation puts the energy relative to the lowest polymorph listed for this composition at 823 meV/atom. The calculated volume comes out at 105 Å³/f.u.

Lattice parameters (Å, degrees): 5.297 5.297 5.297 60.00 60.00 60.00
Element x y z (fractional)
1 Be 0.250 0.250 0.250
2 Rb 0.000 0.000 0.000
3 Ta 0.750 0.750 0.750

2.
Compound: PrSmB2Pt8
Source: OQMD via LeMat-Bulk
Functional: GGA-PBE
Structure: optimized geometry

Computed properties:
As for the space group: No. 191. The calculation puts the energy relative to the lowest polymorph listed for this composition at 0 meV/atom. The calculated volume comes out at 201 Å³/f.u.

Lattice parameters (Å, degrees): 5.488 5.488 7.708 90.00 90.00 120.00
Element x y z (fractional)
1 B 0.667 0.333 0.500
2 B 0.333 0.667 0.500
3 Pr 0.000 0.000 0.000
4 Pt 0.667 0.333 0.000
5 Pt 0.333 0.667 0.000
6 Pt 0.500 0.000 0.301
7 Pt 0.000 0.500 0.301
8 Pt 0.500 0.500 0.301
9 Pt 0.500 0.000 0.699
10 Pt 0.000 0.500 0.699
11 Pt 0.500 0.500 0.699
12 Sm 0.000 0.000 0.500

3.
Compound: Sm2SnS5
Source: OQMD via LeMat-Bulk
Functional: GGA-PBE
Structure: optimized geometry

Computed properties:
As for the space group: No. 55. The calculated total energy comes out at -5.69 eV per atom. The calculated volume comes out at 174 Å³/f.u.

Lattice parameters (Å, degrees): 7.829 11.436 3.881 90.00 90.00 90.00
Element x y z (fractional)
1 S 0.500 0.000 0.000
2 S 0.829 0.196 0.000
3 S 0.329 0.304 0.000
4 S 0.000 0.500 0.000
5 S 0.671 0.696 0.000
6 S 0.171 0.804 0.000
7 S 0.173 0.092 0.500
8 S 0.673 0.408 0.500
9 S 0.327 0.592 0.500
10 S 0.827 0.908 0.500
11 Sm 0.537 0.173 0.500
12 Sm 0.037 0.327 0.500
13 Sm 0.963 0.673 0.500
14 Sm 0.463 0.827 0.500
15 Sn 0.000 0.000 0.000
16 Sn 0.500 0.500 0.000

4.
Compound: YTmTa
Source: OQMD via LeMat-Bulk
Functional: GGA-PBE
Structure: optimized geometry

Computed properties:
As for the space group: No. 216. The calculation puts the energy relative to the lowest polymorph listed for this composition at 0 meV/atom. For the energy of formation from the pure elements, the calculation gives 1.290 eV/atom. The calculated volume comes out at 87 Å³/f.u.

Lattice parameters (Å, degrees): 4.980 4.980 4.980 60.00 60.00 60.00
Element x y z (fractional)
1 Ta 0.250 0.250 0.250
2 Tm 0.000 0.000 0.000
3 Y 0.750 0.750 0.750

5.
Compound: RbNdNO
Source: OQMD via LeMat-Bulk
Functional: GGA-PBE
Structure: optimized geometry

Computed properties:
As for the space group: No. 129. The calculation puts the energy relative to the lowest polymorph listed for this composition at 245 meV/atom. The calculated volume comes out at 72 Å³/f.u.

Lattice parameters (Å, degrees): 5.440 5.440 4.842 90.00 90.00 90.00
Element x y z (fractional)
1 N 0.750 0.750 0.499
2 N 0.250 0.250 0.501
3 Nd 0.750 0.250 0.500
4 Nd 0.250 0.750 0.500
5 O 0.750 0.250 0.000
6 O 0.250 0.750 0.000
7 Rb 0.250 0.250 0.001
8 Rb 0.750 0.750 0.999

6.
Compound: PrAlPt
Source: OQMD via LeMat-Bulk
Functional: GGA-PBE
Structure: optimized geometry

Computed properties:
As for the space group: No. 216. The calculated total energy comes out at -5.58 eV per atom. The calculated volume comes out at 75 Å³/f.u.

Lattice parameters (Å, degrees): 4.724 4.724 4.724 60.00 60.00 60.00
Element x y z (fractional)
1 Al 0.250 0.250 0.250
2 Pr 0.750 0.750 0.750
3 Pt 0.000 0.000 0.000

Which value of calculated volume does entry 1 give?
105 Å³/f.u.

Which formula does entry 6 have?
PrAlPt

Which formula does entry 1 have?
RbTaBe

What is the calculated volume in the sixth record?
75 Å³/f.u.